The following is a PBE calculation of crystalline Sr2Zr2B at its relaxed geometry, from Alexandria.

Lattice parameters (Å, degrees): 6.7552 6.7552 5.8822 90.00 90.00 90.00
Closest atoms and distances in Å follow each position.
Space group P4/mbm (No. 127)
Symmetry-distinct sites (fractional):
Sr 0.1767 0.3233 0.0000  6 Zr 3.33-3.72, 5 Sr 3.38-3.52
Zr 0.1605 0.6605 0.5000  2 B 2.54
B 0.0000 0.0000 0.5000  4 Zr 2.54

Raw total energy (eV per atom): -4.86
DOS(E_F) (states/eV per cell): 11.3
Offset from the most stable computed form (meV per atom): 0
Formation enthalpy at 0 K (eV per atom): 0.567